1.
Compound: SnIr2SO
Source: Alexandria
Functional: PBEsol
Structure: optimized geometry

a = 4.6895 Å, b = 4.6895 Å, c = 3.3326 Å
α = 90.00°, β = 90.00°, γ = 90.00°
Space group P4/mmm (No. 123)
One atom of each set of equivalent atoms:
Sn1 0.0000 0.0000 0.0000 (multiplicity 1)
Ir1 0.0000 0.5000 0.5000 (multiplicity 2)
S1 0.5000 0.5000 0.5000 (multiplicity 1)
O1 0.5000 0.5000 0.0000 (multiplicity 1)



2.
Compound: Sb3IrO
Source: Alexandria
Functional: PBEsol
Structure: optimized geometry

a = 5.0830 Å, b = 5.0830 Å, c = 5.0830 Å
α = 90.00°, β = 90.00°, γ = 90.00°
Space group Pm-3m (No. 221)
One atom of each set of equivalent atoms:
Sb1 0.0000 0.0000 0.5000 (multiplicity 3)
Ir1 0.0000 0.0000 0.0000 (multiplicity 1)
O1 0.5000 0.5000 0.5000 (multiplicity 1)



| no. | E_tot (eV per atom) | uncorrected formation energy (eV/f.u.) |
| --- | --- | --- |
| 1 | -6.308 | 2.0 |
| 2 | -4.830 | 4.6 |